ZrFePS2 | Alexandria | PBE | relaxed; E_form (uncorrected) = 298.0 meV/atom; spin magnetization = 4.1 μB per formula unit; excess energy over the best structure of this formula in the dataset = 1.76 eV per formula unit
1.0
4.8693 0.0000 0.0000
0.0000 4.8693 0.0000
0.0000 0.0000 5.0554
Zr Fe P S
1 1 1 2
Cartesian
0.0000 0.0000 0.0000
2.4347 2.4347 2.5277
0.0000 0.0000 2.5277
0.0000 2.4347 0.0000
2.4347 0.0000 0.0000